The following is a DFT calculation (PBE) of a relaxed Li2Ag4Pd5 crystal.

Structure (POSCAR):
```
Li2Ag4Pd5
1.0
2.8049 0.0000 0.0000
-0.0906 7.4172 0.0000
-1.3569 -1.5784 8.7028
Li Ag Pd
2 4 5
direct
0.0864 0.1991 0.1749
0.9136 0.8009 0.8251
0.1609 0.7060 0.3246
0.4535 0.1557 0.9161
0.5465 0.8443 0.0839
0.8391 0.2940 0.6754
0.0000 0.5000 0.0000
0.3028 0.9537 0.6212
0.3192 0.5969 0.6234
0.6808 0.4031 0.3766
0.6972 0.0463 0.3788
```

Calculated values
DFT total energy ... -3.778 eV/atom
V ... 16.459 Å³/atom
ΔH_f (0 K) ... -0.033 eV per atom
N(E_F) ... 0.457 states/eV/atom

***

The following is a DFT calculation (PBE) of a relaxed Y3CuNi crystal.

Structure (POSCAR):
```
Y3CuNi
1.0
5.1109 -3.2209 0.0000
5.1109 3.2209 0.0000
-3.0156 0.0000 7.2359
Y Cu Ni
6 2 2
direct
0.0055 0.0055 0.2387
0.3090 0.3090 0.6649
0.3109 0.3109 0.1455
0.6891 0.6891 0.8545
0.6910 0.6910 0.3351
0.9945 0.9945 0.7613
0.3063 0.6937 0.5000
0.6937 0.3063 0.5000
0.3100 0.6900 0.0000
0.6900 0.3100 0.0000
```

Calculated values
ΔE to the lowest computed polymorph ... 0.000 eV per atom
DFT total energy ... -6.067 eV/atom
V ... 23.824 Å³/atom
ΔH_f (0 K) ... -0.213 eV per atom
N(E_F) ... 1.274 states/eV/atom

***

The following is a DFT calculation (PBE) of a relaxed SrBeNi2 crystal.

Structure (POSCAR):
```
SrBeNi2
1.0
4.2843 0.0000 0.0000
0.0000 4.2843 0.0000
0.0000 0.0000 3.4672
Sr Be Ni
1 1 2
direct
0.0000 0.0000 0.0000
0.5000 0.5000 0.0000
0.0000 0.5000 0.5000
0.5000 0.0000 0.5000
```

Calculated values
ΔE to the lowest computed polymorph ... 0.677 eV per atom
DFT total energy ... -3.708 eV/atom
V ... 15.910 Å³/atom
ΔH_f (0 K) ... 0.535 eV per atom
N(E_F) ... 0.501 states/eV/atom

***

The following is a DFT calculation (PBE) of a relaxed Th3ReHg crystal.

Structure (POSCAR):
```
Th3ReHg
1.0
0.0000 5.1808 8.4117
3.2582 0.0000 8.4117
3.2582 5.1808 0.0000
Th Re Hg
6 2 2
direct
0.1937 0.1937 0.8063
0.2077 0.5602 0.4398
0.4398 0.7923 0.2077
0.5602 0.2077 0.7923
0.7923 0.4398 0.5602
0.8063 0.8063 0.1937
0.2500 0.2500 0.2500
0.7500 0.7500 0.7500
0.2146 0.7854 0.7854
0.7854 0.2146 0.2146
```

Calculated values
DFT total energy ... -7.110 eV/atom
V ... 28.399 Å³/atom
ΔH_f (0 K) ... -0.108 eV per atom
N(E_F) ... 1.106 states/eV/atom

***

The following is a DFT calculation (PBE) of a relaxed Na3ScSe crystal.

Structure (POSCAR):
```
Na3ScSe
1.0
5.5640 0.0000 0.0000
0.0000 5.5640 0.0000
0.0000 0.0000 5.5640
Na Sc Se
3 1 1
direct
0.0000 0.0000 0.5000
0.0000 0.5000 0.0000
0.5000 0.0000 0.0000
0.5000 0.5000 0.5000
0.0000 0.0000 0.0000
```

Calculated values
ΔE to the lowest computed polymorph ... 0.000 eV per atom
DFT total energy ... -2.751 eV/atom
V ... 34.451 Å³/atom
Energy relative to the elements, uncorrected ... 3 meV per atom
N(E_F) ... 0.409 states/eV/atom

***

The following is a DFT calculation (PBE) of a relaxed CuAgS2 crystal.

Structure (POSCAR):
```
CuAgS2
1.0
4.0050 -1.6752 0.0000
4.0050 1.6752 0.0000
-2.7290 0.0000 6.1259
Cu Ag S
1 1 2
direct
0.0000 0.0000 0.0000
0.2945 0.2945 0.4326
0.5108 0.5108 0.2298
0.5357 0.5357 0.8032
```

Calculated values
DFT total energy ... -3.819 eV/atom
V ... 20.550 Å³/atom
Energy relative to the elements, uncorrected ... -18 meV per atom
N(E_F) ... 0.113 states/eV/atom

***

The following is a DFT calculation (PBE) of a relaxed Nd4PbAu crystal.

Structure (POSCAR):
```
Nd4PbAu
1.0
5.1805 0.0000 0.0000
0.0000 5.1805 0.0000
0.0000 0.0000 7.6258
Nd Pb Au
4 1 1
direct
0.0000 0.5000 0.2322
0.0000 0.5000 0.7678
0.5000 0.0000 0.2322
0.5000 0.0000 0.7678
0.0000 0.0000 0.5000
0.5000 0.5000 0.0000
```

Calculated values
DFT total energy ... -4.641 eV/atom
V ... 34.110 Å³/atom
ΔH_f (0 K) ... -0.298 eV per atom
N(E_F) ... 1.518 states/eV/atom

***

The following is a DFT calculation (PBE) of a relaxed BaCd12 crystal.

Structure (POSCAR):
```
BaCd12
1.0
0.0000 6.0557 6.0557
6.0557 0.0000 6.0557
6.0557 6.0557 0.0000
Ba Cd
1 12
direct
0.0000 0.0000 0.0000
0.1597 0.5000 0.5000
0.1597 0.5000 0.8403
0.1597 0.8403 0.5000
0.5000 0.1597 0.5000
0.5000 0.1597 0.8403
0.5000 0.5000 0.1597
0.5000 0.5000 0.8403
0.5000 0.8403 0.1597
0.5000 0.8403 0.5000
0.8403 0.1597 0.5000
0.8403 0.5000 0.1597
0.8403 0.5000 0.5000
```

Calculated values
ΔE to the lowest computed polymorph ... 0.292 eV per atom
DFT total energy ... -0.835 eV/atom
V ... 34.165 Å³/atom
ΔH_f (0 K) ... 0.157 eV per atom
N(E_F) ... 0.758 states/eV/atom

***

The following is a DFT calculation (PBE) of a relaxed SbP4Br crystal.

Structure (POSCAR):
```
SbP4Br
1.0
0.0000 4.1156 4.1156
4.1156 0.0000 4.1156
4.1156 4.1156 0.0000
Sb P Br
1 4 1
direct
0.0000 0.0000 0.0000
0.4044 0.4044 0.4044
0.4044 0.4044 0.7867
0.4044 0.7867 0.4044
0.7867 0.4044 0.4044
0.7500 0.7500 0.7500
```

Calculated values
DFT total energy ... -4.176 eV/atom
V ... 23.238 Å³/atom
Energy relative to the elements, uncorrected ... 396 meV per atom
N(E_F) ... 0.629 states/eV/atom

***

The following is a DFT calculation (PBE) of a relaxed LaRu2 crystal.

Structure (POSCAR):
```
LaRu2
1.0
5.5436 -1.5282 0.0000
5.5436 1.5282 0.0000
-1.6340 0.0000 6.7898
La Ru
2 4
direct
0.0097 0.0097 0.2764
0.9903 0.9903 0.7236
0.2711 0.2711 0.3537
0.3334 0.3334 0.9619
0.6666 0.6666 0.0381
0.7289 0.7289 0.6463
```

Calculated values
DFT total energy ... -7.665 eV/atom
V ... 19.173 Å³/atom
ΔH_f (0 K) ... 0.162 eV per atom
N(E_F) ... 1.150 states/eV/atom

***

The following is a DFT calculation (PBE) of a relaxed PuTiRh4 crystal.

Structure (POSCAR):
```
PuTiRh4
1.0
0.0000 3.6933 3.6933
3.6933 0.0000 3.6933
3.6933 3.6933 0.0000
Pu Ti Rh
1 1 4
direct
0.0000 0.0000 0.0000
0.2500 0.2500 0.2500
0.1259 0.6247 0.6247
0.6247 0.1259 0.6247
0.6247 0.6247 0.1259
0.6247 0.6247 0.6247
```

Calculated values
ΔE to the lowest computed polymorph ... 0.027 eV per atom
DFT total energy ... -8.993 eV/atom
V ... 16.793 Å³/atom
ΔH_f (0 K) ... -0.387 eV per atom
N(E_F) ... 1.960 states/eV/atom

***

The following is a DFT calculation (PBE) of a relaxed Rb2AsH crystal.

Structure (POSCAR):
```
Rb2AsH
1.0
2.7345 -7.3309 0.0000
2.7345 7.3309 0.0000
0.0000 0.0000 8.9534
Rb As H
4 2 2
direct
0.1494 0.8506 0.5108
0.1494 0.8506 0.9892
0.8506 0.1494 0.0108
0.8506 0.1494 0.4892
0.3266 0.6734 0.2500
0.6734 0.3266 0.7500
0.4332 0.5668 0.2500
0.5668 0.4332 0.7500
```

Calculated values
ΔE to the lowest computed polymorph ... 0.000 eV per atom
DFT total energy ... -2.727 eV/atom
V ... 44.872 Å³/atom
N(E_F) ... 0.008 states/eV/atom

***

The following is a DFT calculation (PBE) of a relaxed Zr4CdIn crystal.

Structure (POSCAR):
```
Zr4CdIn
1.0
4.1472 -2.3908 0.0000
4.1472 2.3908 0.0000
-2.7784 0.0000 7.8330
Zr Cd In
4 1 1
direct
0.1240 0.1240 0.3721
0.3742 0.3742 0.1227
0.6258 0.6258 0.8773
0.8760 0.8760 0.6279
0.0000 0.0000 0.0000
0.5000 0.5000 0.5000
```

Calculated values
ΔE to the lowest computed polymorph ... 0.542 eV per atom
DFT total energy ... -5.938 eV/atom
V ... 25.889 Å³/atom
ΔH_f (0 K) ... 0.369 eV per atom
N(E_F) ... 1.223 states/eV/atom

***

The following is a DFT calculation (PBE) of a relaxed RbSn3Bi2Se6 crystal.

Structure (POSCAR):
```
RbSn3Bi2Se6
1.0
9.5518 -2.1152 0.0000
9.5518 2.1152 0.0000
-1.8254 0.0000 9.0901
Rb Sn Bi Se
1 3 2 6
direct
0.0000 0.0000 0.0000
0.0000 0.0000 0.5000
0.3301 0.3301 0.1711
0.6699 0.6699 0.8289
0.3339 0.3339 0.6534
0.6661 0.6661 0.3466
0.1628 0.1628 0.6106
0.1816 0.1816 0.1302
0.4813 0.4813 0.7161
0.5187 0.5187 0.2839
0.8184 0.8184 0.8698
0.8372 0.8372 0.3893
```

Calculated values
DFT total energy ... -3.942 eV/atom
V ... 30.608 Å³/atom
Energy relative to the elements, uncorrected ... -471 meV per atom
N(E_F) ... 0.244 states/eV/atom

***

The following is a DFT calculation (PBE) of a relaxed SrTcSn3 crystal.

Structure (POSCAR):
```
SrTcSn3
1.0
5.2511 0.0000 0.0000
0.0000 5.2511 0.0000
0.0000 0.0000 5.2511
Sr Tc Sn
1 1 3
direct
0.0000 0.0000 0.0000
0.5000 0.5000 0.5000
0.0000 0.5000 0.5000
0.5000 0.0000 0.5000
0.5000 0.5000 0.0000
```

Calculated values
ΔE to the lowest computed polymorph ... 0.000 eV per atom
DFT total energy ... -4.842 eV/atom
V ... 28.958 Å³/atom
ΔH_f (0 K) ... -0.031 eV per atom
N(E_F) ... 1.227 states/eV/atom

***

The following is a DFT calculation (PBE) of a relaxed Ac6TlCo2Cl3 crystal.

Structure (POSCAR):
```
Ac6TlCo2Cl3
1.0
10.8713 -2.1090 0.0000
10.8713 2.1090 0.0000
-2.5905 0.0000 8.9905
Ac Tl Co Cl
6 1 2 3
direct
0.0394 0.0394 0.2868
0.3108 0.3108 0.4274
0.3351 0.3351 0.8752
0.6649 0.6649 0.1248
0.6892 0.6892 0.5726
0.9606 0.9606 0.7132
0.5000 0.5000 0.0000
0.1733 0.1733 0.3468
0.8267 0.8267 0.6532
0.1841 0.1841 0.8614
0.5000 0.5000 0.5000
0.8159 0.8159 0.1386
```

Calculated values
DFT total energy ... -4.747 eV/atom
V ... 34.356 Å³/atom
Energy relative to the elements, uncorrected ... -849 meV per atom
N(E_F) ... 0.613 states/eV/atom

***

The following is a DFT calculation (PBE) of a relaxed CeGa12Au6 crystal.

Structure (POSCAR):
```
CeGa12Au6
1.0
5.9608 3.4414 3.0163
-5.9608 3.4414 3.0163
0.0000 -6.8829 3.0163
Ce Ga Au
1 12 6
direct
0.0000 0.0000 0.0000
0.1085 0.5000 0.8915
0.1085 0.8915 0.5000
0.1425 0.3857 0.3857
0.3857 0.1425 0.3857
0.3857 0.3857 0.1425
0.5000 0.1085 0.8915
0.5000 0.8915 0.1085
0.6143 0.6143 0.8575
0.6143 0.8575 0.6143
0.8575 0.6143 0.6143
0.8915 0.1085 0.5000
0.8915 0.5000 0.1085
0.2774 0.7115 0.7115
0.2885 0.2885 0.7226
0.2885 0.7226 0.2885
0.7115 0.2774 0.7115
0.7115 0.7115 0.2774
0.7226 0.2885 0.2885
```

Calculated values
DFT total energy ... -3.442 eV/atom
V ... 19.540 Å³/atom
ΔH_f (0 K) ... -0.183 eV per atom
N(E_F) ... 0.589 states/eV/atom

***

The following is a DFT calculation (PBE) of a relaxed YCu2S3 crystal.

Structure (POSCAR):
```
YCu2S3
1.0
4.0334 -5.8675 0.0000
4.0334 5.8675 0.0000
0.0000 0.0000 4.7641
Y Cu S
2 4 6
direct
0.2382 0.7618 0.7500
0.7618 0.2382 0.2500
0.3031 0.3031 0.0000
0.3031 0.3031 0.5000
0.6969 0.6969 0.0000
0.6969 0.6969 0.5000
0.0458 0.3445 0.7500
0.3445 0.0458 0.2500
0.3859 0.6141 0.2500
0.6141 0.3859 0.7500
0.6555 0.9542 0.7500
0.9542 0.6555 0.2500
```

Calculated values
DFT total energy ... -5.296 eV/atom
V ... 18.791 Å³/atom
Energy relative to the elements, uncorrected ... -790 meV per atom
N(E_F) ... 0.792 states/eV/atom

***

The following is a DFT calculation (PBE) of a relaxed MgZrSnAu crystal.

Structure (POSCAR):
```
MgZrSnAu
1.0
0.0000 3.4776 3.4776
3.4776 0.0000 3.4776
3.4776 3.4776 0.0000
Mg Zr Sn Au
1 1 1 1
direct
0.0000 0.0000 0.0000
0.5000 0.5000 0.5000
0.7500 0.7500 0.7500
0.2500 0.2500 0.2500
```

Calculated values
DFT total energy ... -4.666 eV/atom
V ... 21.028 Å³/atom
ΔH_f (0 K) ... -0.310 eV per atom
N(E_F) ... 0.944 states/eV/atom

***

The following is a DFT calculation (PBE) of a relaxed Th2MgCo crystal.

Structure (POSCAR):
```
Th2MgCo
1.0
3.3720 0.0000 0.0000
0.0000 3.3720 0.0000
0.0000 0.0000 8.7945
Th Mg Co
2 1 1
direct
0.0000 0.0000 0.1956
0.0000 0.0000 0.8044
0.5000 0.5000 0.5000
0.5000 0.5000 0.0000
```

Calculated values
ΔE to the lowest computed polymorph ... 0.013 eV per atom
DFT total energy ... -5.915 eV/atom
V ... 24.999 Å³/atom
ΔH_f (0 K) ... -0.030 eV per atom
N(E_F) ... 1.305 states/eV/atom

***

The following is a DFT calculation (PBE) of a relaxed Pa2Zn15Cd2 crystal.

Structure (POSCAR):
```
Pa2Zn15Cd2
1.0
4.5472 2.6253 4.4514
-4.5472 2.6253 4.4514
0.0000 -5.2507 4.4514
Pa Zn Cd
2 15 2
direct
0.1556 0.1556 0.1556
0.8444 0.8444 0.8444
0.0000 0.5000 0.5000
0.1442 0.1442 0.6647
0.1442 0.6647 0.1442
0.1972 0.5000 0.8028
0.1972 0.8028 0.5000
0.3353 0.8558 0.8558
0.5000 0.0000 0.5000
0.5000 0.1972 0.8028
0.5000 0.5000 0.0000
0.5000 0.8028 0.1972
0.6647 0.1442 0.1442
0.8028 0.1972 0.5000
0.8028 0.5000 0.1972
0.8558 0.3353 0.8558
0.8558 0.8558 0.3353
0.3946 0.3946 0.3946
0.6054 0.6054 0.6054
```

Calculated values
DFT total energy ... -2.187 eV/atom
V ... 16.781 Å³/atom
ΔH_f (0 K) ... -0.085 eV per atom
N(E_F) ... 0.636 states/eV/atom

***

The following is a DFT calculation (PBE) of a relaxed Pr4Tl2CdGa crystal.

Structure (POSCAR):
```
Pr4Tl2CdGa
1.0
2.7459 1.5853 8.9130
-2.7459 1.5853 8.9130
0.0000 -3.1707 8.9130
Pr Tl Cd Ga
4 2 1 1
direct
0.1188 0.1188 0.1188
0.3698 0.3698 0.3698
0.6302 0.6302 0.6302
0.8812 0.8812 0.8812
0.2432 0.2432 0.2432
0.7568 0.7568 0.7568
0.5000 0.5000 0.5000
0.0000 0.0000 0.0000
```

Calculated values
DFT total energy ... -3.882 eV/atom
V ... 29.100 Å³/atom
ΔH_f (0 K) ... -0.408 eV per atom
N(E_F) ... 1.106 states/eV/atom

***

The following is a DFT calculation (PBE) of a relaxed La2PmHo8 crystal.

Structure (POSCAR):
```
La2PmHo8
1.0
9.1143 -2.5367 0.0000
9.1143 2.5367 0.0000
-2.1112 0.0000 7.7180
La Pm Ho
2 1 8
direct
0.2274 0.2274 0.1368
0.7726 0.7726 0.8632
0.5000 0.5000 0.5000
0.0436 0.0436 0.2267
0.1349 0.1349 0.6761
0.3191 0.3191 0.5936
0.4110 0.4110 0.0457
0.5890 0.5890 0.9543
0.6809 0.6809 0.4064
0.8651 0.8651 0.3239
0.9564 0.9564 0.7733
```

Calculated values
ΔE to the lowest computed polymorph ... 0.000 eV per atom
DFT total energy ... -4.627 eV/atom
V ... 32.444 Å³/atom
ΔH_f (0 K) ... 0.031 eV per atom
N(E_F) ... 1.558 states/eV/atom

***

The following is a DFT calculation (PBE) of a relaxed AlAs2PtSe crystal.

Structure (POSCAR):
```
AlAs2PtSe
1.0
4.8242 0.0000 0.0000
0.0000 4.8242 0.0000
0.0000 0.0000 5.3203
Al As Pt Se
1 2 1 1
direct
0.0000 0.0000 0.0000
0.0000 0.5000 0.5000
0.5000 0.0000 0.5000
0.5000 0.5000 0.5000
0.5000 0.5000 0.0000
```

Calculated values
ΔE to the lowest computed polymorph ... 0.000 eV per atom
DFT total energy ... -3.952 eV/atom
V ... 24.764 Å³/atom
Energy relative to the elements, uncorrected ... 561 meV per atom
N(E_F) ... 1.044 states/eV/atom